No. 1
! TiAuBr2 PBE optimized geometry; values from VASP
! Density of states at the Fermi level in states/eV/f.u.: 4.228
! E above lowest polymorph in kcal/mol of atoms: 1.693
! Density in Mg/m³: 5.88
! Volume in Å³/atom: 28.57
! Space group: I-42d
&SYSTEM
  ibrav = 0, nat = 8, ntyp = 3
/
ATOMIC_SPECIES
Au 196.97 Au.upf
Br 79.90 Br.upf
Ti 47.87 Ti.upf
CELL_PARAMETERS angstrom
-8.3199 -2.7650 -3.0074
0.6675 -7.6516 5.1882
-4.9829 -3.9339 3.1187
ATOMIC_POSITIONS crystal
Au 0.0000 0.0000 0.0000
Au 0.7500 0.2500 0.5000
Br 0.4747 0.1250 0.2500
Br 0.2753 0.6250 0.2500
Br 0.3750 0.5253 0.7500
Br 0.8750 0.7247 0.7500
Ti 0.5000 0.5000 0.0000
Ti 0.2500 0.7500 0.5000

No. 2
! K2AgCl5 PBE optimized geometry; values from VASP
! Density of states at the Fermi level in states/eV/f.u.: 4.056
! E above lowest polymorph in kcal/mol of atoms: 0.433
! Density in Mg/m³: 2.49
! Volume in Å³/atom: 30.28
! Space group: P4/mmm
&SYSTEM
  ibrav = 0, nat = 8, ntyp = 3
/
ATOMIC_SPECIES
K 39.10 K.upf
Ag 107.87 Ag.upf
Cl 35.45 Cl.upf
CELL_PARAMETERS angstrom
5.0128 0.0000 0.0000
0.0000 6.9512 0.0000
0.0000 0.0000 6.9512
ATOMIC_POSITIONS crystal
K 0.5000 0.5000 0.0000
K 0.5000 0.0000 0.5000
Ag 0.0000 0.0000 0.0000
Cl 0.0000 0.7475 0.7475
Cl 0.0000 0.2525 0.7475
Cl 0.0000 0.7475 0.2525
Cl 0.5000 0.0000 0.0000
Cl 0.0000 0.2525 0.2525